# 1
The following is a PBE calculation of an optimized crystal structure of La3InIr, from the Alexandria database.

Calculated values
raw total energy: -28.93 eV/f.u.
energy relative to the elements: -0.510 eV per atom
DOS at the Fermi energy: 4.3 states/eV/f.u.

The structure in CIF format:
```
data_La3InIr
_chemical_formula_sum 'La18 In6 Ir6'
_cell_length_a 8.4206
_cell_length_b 8.4206
_cell_length_c 15.1104
_cell_angle_alpha 90.00
_cell_angle_beta 90.00
_cell_angle_gamma 120.00
_space_group_name_H-M_alt 'R 3 c'
_space_group_IT_number 161
_space_group_name_Hall 'R 3 -2"c'
loop_
_atom_site_label
_atom_site_fract_x
_atom_site_fract_y
_atom_site_fract_z
La1 0.0827 0.3713 0.0000
In1 0.0000 0.0000 0.1491
Ir1 0.0000 0.0000 0.4550
```

***

# 2
The following is a PBE calculation of an optimized crystal structure of La7InIr2, from the Alexandria database.

Calculated values
raw total energy: -58.30 eV/f.u.
energy relative to the elements: -0.334 eV per atom
DOS at the Fermi energy: 9.7 states/eV/f.u.

The structure in CIF format:
```
data_La7InIr2
_chemical_formula_sum 'La14 In2 Ir4'
_cell_length_a 9.441
_cell_length_b 14.227
_cell_length_c 5.431
_cell_angle_alpha 90.00
_cell_angle_beta 90.00
_cell_angle_gamma 90.00
_space_group_name_H-M_alt 'C m m m'
_space_group_IT_number 65
_space_group_name_Hall '-C 2 2'
loop_
_atom_site_label
_atom_site_fract_x
_atom_site_fract_y
_atom_site_fract_z
La1 0.000 0.000 0.000
La2 0.000 0.209 0.500
La3 0.180 0.373 0.000
In1 0.000 0.500 0.500
Ir1 0.000 0.199 0.000
```

***

# 3
The following is a PBE calculation of an optimized crystal structure of LaInIr, from the Alexandria database.

Calculated values
raw total energy: -17.73 eV/f.u.
energy relative to the elements: -0.400 eV per atom
DOS at the Fermi energy: 2.2 states/eV/f.u.

The structure in CIF format:
```
data_LaInIr
_chemical_formula_sum 'La2 In2 Ir2'
_cell_length_a 3.278
_cell_length_b 3.582
_cell_length_c 11.946
_cell_angle_alpha 90.00
_cell_angle_beta 90.00
_cell_angle_gamma 90.00
_space_group_name_H-M_alt 'I m m 2'
_space_group_IT_number 44
loop_
_space_group_symop_operation_xyz
'x,y,z'
'-x,-y,z'
'-x,y,z'
'x,-y,z'
'x+1/2,y+1/2,z+1/2'
'-x+1/2,-y+1/2,z+1/2'
'-x+1/2,y+1/2,z+1/2'
'x+1/2,-y+1/2,z+1/2'
loop_
_atom_site_label
_atom_site_fract_x
_atom_site_fract_y
_atom_site_fract_z
La1 0.000 0.000 0.000
In1 0.000 0.000 0.281
Ir1 0.000 0.000 0.654
```

***

# 4
The following is a PBE calculation of an optimized crystal structure of La3InIr, from the Alexandria database.

Calculated values
raw total energy: -25.99 eV/f.u.
energy relative to the elements: 0.077 eV per atom
DOS at the Fermi energy: 8.8 states/eV/f.u.

The structure in CIF format:
```
data_La3InIr
_chemical_formula_sum 'La6 In2 Ir2'
_cell_length_a 4.035
_cell_length_b 8.394
_cell_length_c 15.758
_cell_angle_alpha 90.00
_cell_angle_beta 90.00
_cell_angle_gamma 90.00
_space_group_name_H-M_alt 'A m m 2'
_space_group_IT_number 38
loop_
_space_group_symop_operation_xyz
'x,y,z'
'-x,-y,z'
'-x,y,z'
'x,-y,z'
'x,y+1/2,z+1/2'
'-x,-y+1/2,z+1/2'
'-x,y+1/2,z+1/2'
'x,-y+1/2,z+1/2'
loop_
_atom_site_label
_atom_site_fract_x
_atom_site_fract_y
_atom_site_fract_z
La1 0.000 0.000 0.000
La2 0.500 0.225 0.802
In1 0.500 0.000 0.156
Ir1 0.000 0.000 0.825
```

***

# 5
The following is a PBE calculation of an optimized crystal structure of La3InIr, from the Alexandria database.

Calculated values
raw total energy: -29.05 eV/f.u.
energy relative to the elements: -0.534 eV per atom
DOS at the Fermi energy: 5.1 states/eV/f.u.

The structure in CIF format:
```
data_La3InIr
_chemical_formula_sum 'La12 In4 Ir4'
_cell_length_a 19.042
_cell_length_b 4.009
_cell_length_c 8.900
_cell_angle_alpha 90.00
_cell_angle_beta 112.22
_cell_angle_gamma 90.00
_space_group_name_H-M_alt 'C 1 m 1'
_space_group_IT_number 8
loop_
_space_group_symop_operation_xyz
'x,y,z'
'x,-y,z'
'x+1/2,y+1/2,z'
'x+1/2,-y+1/2,z'
loop_
_atom_site_label
_atom_site_fract_x
_atom_site_fract_y
_atom_site_fract_z
La1 0.000 0.000 0.000
La2 0.055 0.500 0.417
La3 0.149 0.000 0.819
La4 0.238 0.000 0.462
La5 0.331 0.000 0.132
La6 0.425 0.500 0.569
In1 0.162 0.500 0.140
In2 0.297 0.500 0.786
Ir1 0.036 0.500 0.778
Ir2 0.447 0.500 0.263
```

***

# 6
The following is a PBE calculation of an optimized crystal structure of LaInIr, from the Alexandria database.

Calculated values
raw total energy: -18.09 eV/f.u.
energy relative to the elements: -0.522 eV per atom
DOS at the Fermi energy: 1.8 states/eV/f.u.

The structure in CIF format:
```
data_LaInIr
_chemical_formula_sum 'La4 In4 Ir4'
_cell_length_a 6.821
_cell_length_b 6.821
_cell_length_c 6.821
_cell_angle_alpha 90.00
_cell_angle_beta 90.00
_cell_angle_gamma 90.00
_space_group_name_H-M_alt 'F -4 3 m'
_space_group_IT_number 216
_space_group_name_Hall 'F -4 2 3'
loop_
_atom_site_label
_atom_site_fract_x
_atom_site_fract_y
_atom_site_fract_z
La1 0.000 0.000 0.000
In1 0.000 0.000 0.500
Ir1 0.250 0.250 0.250
```

***

Total moment (μB per formula unit)
0.0, 0.0, 0.0, 0.0, 0.0, 0.0